DFT (PBE) results for a relaxed structure of LuNi.

a = 5.417 Å, b = 5.417 Å, c = 5.417 Å
α = 90.00°, β = 90.00°, γ = 90.00°
Space group Fm-3m (No. 225)
Inequivalent atoms, fractional coordinates:
Lu: 0.000 0.000 0.000
Ni: 0.000 0.000 0.500

Energy of formation from the pure elements in eV/atom: -0.25
Calculated volume in Å³ per cell: 158.9

***

DFT (PBE) results for a relaxed structure of Lu3Ni.

a = 6.711 Å, b = 9.241 Å, c = 6.157 Å
α = 90.00°, β = 90.00°, γ = 90.00°
Space group Pnma (No. 62)
Inequivalent atoms, fractional coordinates:
Lu: 0.032 0.250 0.134
Lu: 0.181 0.064 0.680
Ni: 0.107 0.750 0.452

Energy of formation from the pure elements in eV/atom: -0.29
Calculated volume in Å³ per cell: 381.8

***

DFT (PBE) results for a relaxed structure of Lu3Ni.

a = 4.544 Å, b = 4.544 Å, c = 4.544 Å
α = 90.00°, β = 90.00°, γ = 90.00°
Space group Pm-3m (No. 221)
Inequivalent atoms, fractional coordinates:
Lu: 0.000 0.000 0.500
Ni: 0.500 0.500 0.500

Energy of formation from the pure elements in eV/atom: 0.08
Calculated volume in Å³ per cell: 93.8

***

DFT (PBE) results for a relaxed structure of LuNi.

a = 3.6502 Å, b = 3.6502 Å, c = 10.0509 Å
α = 90.00°, β = 90.00°, γ = 120.00°
Space group R-3m (No. 166, hexagonal axes)
Inequivalent atoms, fractional coordinates:
Lu: 0.0000 0.0000 0.0000
Ni: 0.0000 0.0000 0.5000

Energy of formation from the pure elements in eV/atom: -0.24
Calculated volume in Å³ per cell: 116.0

***

- Which value of energy of formation from the pure elements does entry 2 give?
  -0.29 eV/atom

***

- The lowest energy of formation from the pure elements belongs to which entry?
  number 2

***

- Number 2 is which compound?
  Lu3Ni

***

- Which value of energy of formation from the pure elements does entry 4 give?
  -0.24 eV/atom